# 1
Li4EuY after structural relaxation, computed with PBE.

```
Li4EuY
1.0
-2.210 -4.262 3.635
3.335 -2.100 4.553
-1.467 1.352 5.682
Y Li Eu
1 4 1
Direct
0.000 0.000 0.000
0.122 0.626 0.626
0.626 0.626 0.122
0.626 0.122 0.626
0.626 0.626 0.626
0.250 0.250 0.250
```

Output
Volume, Å³/cell: 154
Space group: F-43m (216)
Calculated formation energy, kJ/mol of formula units: 56

---

# 2
LiCaTa after structural relaxation, computed with PBE.

```
LiCaTa
1.0
-1.167 4.557 -0.114
-7.133 -4.340 -3.256
-1.306 -0.013 3.072
Li Ta Ca
2 2 2
Direct
0.043 0.784 0.863
0.780 0.256 0.859
0.411 0.520 0.861
0.912 0.520 0.361
0.243 0.184 0.358
0.579 0.856 0.364
```

Output
Volume, Å³/cell: 136
Space group: P-1 (2)
Calculated formation energy, kJ/mol of formula units: 123
Relative energy among the computed polymorphs, meV per atom: 180

---

# 3
SrTaAl2 after structural relaxation, computed with PBE.

```
SrTaAl2
1.0
-3.798 -0.274 -3.753
-0.263 -4.875 2.180
-1.998 0.981 1.952
Al Ta Sr
2 1 1
Direct
0.500 0.500 0.000
0.000 0.000 0.000
0.000 0.500 0.500
0.500 0.000 0.500
```

Output
Volume, Å³/cell: 83
Space group: Cmmm (65)
Calculated formation energy, kJ/mol of formula units: 113
Relative energy among the computed polymorphs, meV per atom: 296

---

# 4
Sr4InTe2 after structural relaxation, computed with PBE.

```
Sr4InTe2
1.0
-3.052 2.866 -4.348
-3.497 -4.862 -0.750
-8.855 2.097 3.408
Sr Te In
4 2 1
Direct
0.816 0.816 0.367
0.000 0.500 0.000
0.184 0.184 0.633
0.500 0.000 0.000
0.368 0.368 0.264
0.632 0.632 0.736
0.000 0.000 0.000
```

Output
Volume, Å³/cell: 318
Space group: I4/mmm (139)
Raw formation energy, meV/atom: -698